Here is a geometry-optimized Pm3Sn2Ge structure from Alexandria via LeMat-Bulk. Energies are from PBE.

* volume: 28.6 Å³/atom
* DFT formation energy: -0.70 eV/atom
* SG: Pnma
* M_tot: 0.0 μB per formula unit
* excess energy over the best structure of this formula in the dataset: 0 meV per atom

Geometry as CIF:
```
data_Pm3Sn2Ge
_chemical_formula_sum 'Pm12 Sn8 Ge4'
_symmetry_space_group_name_H-M 'P 1'
_symmetry_Int_Tables_number 1
_cell_length_a 4.4245
_cell_length_b 12.1983
_cell_length_c 12.7015
_cell_angle_alpha 90.00
_cell_angle_beta 90.00
_cell_angle_gamma 90.00
loop_
_symmetry_equiv_pos_as_xyz
'x,y,z'
loop_
_atom_site_label
_atom_site_type_symbol
_atom_site_fract_x
_atom_site_fract_y
_atom_site_fract_z
Pm1 Pm 0.2500 0.3805 0.0527
Pm2 Pm 0.7500 0.6195 0.9473
Pm3 Pm 0.7500 0.8805 0.4473
Pm4 Pm 0.2500 0.1195 0.5527
Pm5 Pm 0.2500 0.7122 0.2314
Pm6 Pm 0.7500 0.2878 0.7686
Pm7 Pm 0.7500 0.2122 0.2686
Pm8 Pm 0.2500 0.7878 0.7314
Pm9 Pm 0.2500 0.4493 0.3856
Pm10 Pm 0.7500 0.5507 0.6144
Pm11 Pm 0.7500 0.9493 0.1144
Pm12 Pm 0.2500 0.0507 0.8856
Sn1 Sn 0.2500 0.7016 0.5000
Sn2 Sn 0.7500 0.2984 0.5000
Sn3 Sn 0.7500 0.2016 0.0000
Sn4 Sn 0.2500 0.7984 0.0000
Sn5 Sn 0.2500 0.9952 0.3090
Sn6 Sn 0.7500 0.0048 0.6910
Sn7 Sn 0.7500 0.4952 0.1910
Sn8 Sn 0.2500 0.5048 0.8090
Ge1 Ge 0.2500 0.1289 0.1278
Ge2 Ge 0.7500 0.8711 0.8722
Ge3 Ge 0.7500 0.6289 0.3722
Ge4 Ge 0.2500 0.3711 0.6278
```

Here is a geometry-optimized MnZn2Pt structure from Alexandria via LeMat-Bulk. Energies are from PBE.

* volume: 14.7 Å³/atom
* DFT formation energy: -0.12 eV/atom
* SG: Cm
* M_tot: 3.4 μB per formula unit

Geometry as CIF:
```
data_MnZn2Pt
_chemical_formula_sum 'Mn1 Zn2 Pt1'
_symmetry_space_group_name_H-M 'P 1'
_symmetry_Int_Tables_number 1
_cell_length_a 2.8284
_cell_length_b 2.8284
_cell_length_c 8.6806
_cell_angle_alpha 80.50
_cell_angle_beta 80.50
_cell_angle_gamma 59.83
loop_
_symmetry_equiv_pos_as_xyz
'x,y,z'
loop_
_atom_site_label
_atom_site_type_symbol
_atom_site_fract_x
_atom_site_fract_y
_atom_site_fract_z
Mn1 Mn 0.4989 0.4989 0.5002
Zn1 Zn 0.0837 0.0837 0.7493
Zn2 Zn 0.2503 0.2503 0.2509
Pt1 Pt 0.6671 0.6671 0.9996
```

Here is a geometry-optimized TbPmTcAg structure from Alexandria via LeMat-Bulk. Energies are from PBE.

* volume: 22.7 Å³/atom
* DFT formation energy: -0.05 eV/atom
* SG: F-43m
* M_tot: 0.0 μB per formula unit

Geometry as CIF:
```
data_TbPmTcAg
_chemical_formula_sum 'Tb1 Pm1 Tc1 Ag1'
_symmetry_space_group_name_H-M 'P 1'
_symmetry_Int_Tables_number 1
_cell_length_a 5.0441
_cell_length_b 5.0441
_cell_length_c 5.0441
_cell_angle_alpha 60.00
_cell_angle_beta 60.00
_cell_angle_gamma 60.00
loop_
_symmetry_equiv_pos_as_xyz
'x,y,z'
loop_
_atom_site_label
_atom_site_type_symbol
_atom_site_fract_x
_atom_site_fract_y
_atom_site_fract_z
Tb1 Tb 0.0000 0.0000 0.0000
Tc1 Tc 0.2500 0.2500 0.2500
Ag1 Ag 0.7500 0.7500 0.7500
Pm1 Pm 0.5000 0.5000 0.5000
```

Here is a geometry-optimized V3FeCu structure from Alexandria via LeMat-Bulk. Energies are from PBE.

* volume: 15.5 Å³/atom
* DFT formation energy: 0.81 eV/atom
* SG: Pm-3m
* M_tot: 0.0 μB per formula unit

Geometry as CIF:
```
data_V3FeCu
_chemical_formula_sum 'V3 Fe1 Cu1'
_symmetry_space_group_name_H-M 'P 1'
_symmetry_Int_Tables_number 1
_cell_length_a 4.2652
_cell_length_b 4.2652
_cell_length_c 4.2652
_cell_angle_alpha 90.00
_cell_angle_beta 90.00
_cell_angle_gamma 90.00
loop_
_symmetry_equiv_pos_as_xyz
'x,y,z'
loop_
_atom_site_label
_atom_site_type_symbol
_atom_site_fract_x
_atom_site_fract_y
_atom_site_fract_z
Fe1 Fe 0.0000 0.0000 0.0000
Cu1 Cu 0.5000 0.5000 0.5000
V1 V 0.0000 0.5000 0.0000
V2 V 0.0000 0.0000 0.5000
V3 V 0.5000 0.0000 0.0000
```

What is the M_tot in the second record?
3.4 μB per formula unit